A plane-wave DFT calculation with PBE-GGA was carried out for a geometry-optimized Dy3ZnO structure.

Structure (POSCAR):
```
Dy3ZnO
1.0
4.719 0.000 0.000
0.000 4.719 0.000
0.000 0.000 4.719
Dy Zn O
3 1 1
Direct
0.000 0.000 0.500
0.000 0.500 0.000
0.500 0.000 0.000
0.500 0.500 0.500
0.000 0.000 0.000
```

Properties
**Spin magnetization**: 0.000 μB/cell
**Final energy**: -5.2832 eV per atom
**ΔE_f (raw)**: -1.2755 eV/atom
**D(E_F)**: 0.514 states/eV per atom

A plane-wave DFT calculation with PBE-GGA was carried out for a geometry-optimized Dy2Zr2O7 structure.

Structure (POSCAR):
```
Dy2Zr2O7
1.0
7.539 0.000 0.000
0.000 3.611 0.000
0.000 0.000 10.649
Dy Zr O
4 4 14
Direct
0.000 0.000 0.000
0.250 0.500 0.275
0.500 0.000 0.000
0.750 0.500 0.725
0.000 0.000 0.500
0.250 0.500 0.745
0.500 0.000 0.500
0.750 0.500 0.255
0.019 0.500 0.619
0.043 0.500 0.130
0.250 0.000 0.390
0.250 0.000 0.633
0.250 0.000 0.880
0.457 0.500 0.130
0.481 0.500 0.619
0.519 0.500 0.381
0.543 0.500 0.870
0.750 0.000 0.120
0.750 0.000 0.367
0.750 0.000 0.610
0.957 0.500 0.870
0.981 0.500 0.381
```

Properties
**Spin magnetization**: 0.000 μB/cell
**Final energy**: -8.8636 eV per atom
**ΔE_f (raw)**: -3.3174 eV/atom
**D(E_F)**: 0.000 states/eV per atom

A plane-wave DFT calculation with PBE-GGA was carried out for a geometry-optimized Dy2Zr8O19 structure.

Structure (POSCAR):
```
Dy2Zr8O19
1.0
3.663 0.000 0.000
0.000 3.663 0.000
0.000 0.000 26.307
Dy Zr O
2 8 19
Direct
0.000 0.500 0.058
0.500 0.000 0.942
0.000 0.500 0.254
0.000 0.500 0.451
0.000 0.500 0.647
0.000 0.500 0.845
0.500 0.000 0.155
0.500 0.000 0.353
0.500 0.000 0.549
0.500 0.000 0.746
0.000 0.000 0.000
0.000 0.000 0.114
0.000 0.000 0.213
0.000 0.000 0.310
0.000 0.000 0.406
0.000 0.000 0.500
0.000 0.000 0.594
0.000 0.000 0.690
0.000 0.000 0.787
0.000 0.000 0.886
0.500 0.500 0.097
0.500 0.500 0.196
0.500 0.500 0.296
0.500 0.500 0.398
0.500 0.500 0.500
0.500 0.500 0.602
0.500 0.500 0.704
0.500 0.500 0.804
0.500 0.500 0.903
```

Properties
**Spin magnetization**: 0.000 μB/cell
**Final energy**: -9.2278 eV per atom
**ΔE_f (raw)**: -3.3038 eV/atom
**D(E_F)**: 0.000 states/eV per atom

A plane-wave DFT calculation with PBE-GGA was carried out for a geometry-optimized Dy2Zr2O7 structure.

Structure (POSCAR):
```
Dy2Zr2O7
1.0
7.320 0.000 0.000
0.000 7.320 0.000
0.000 0.000 12.659
Dy Zr O
8 8 28
Direct
0.123 0.361 0.384
0.139 0.623 0.634
0.361 0.123 0.616
0.377 0.861 0.866
0.623 0.139 0.366
0.639 0.877 0.116
0.861 0.377 0.134
0.877 0.639 0.884
0.102 0.873 0.095
0.127 0.898 0.405
0.373 0.398 0.845
0.398 0.373 0.155
0.602 0.627 0.655
0.627 0.602 0.345
0.873 0.102 0.905
0.898 0.127 0.595
0.073 0.908 0.914
0.084 0.325 0.573
0.092 0.927 0.586
0.135 0.352 0.205
0.148 0.635 0.455
0.149 0.851 0.250
0.175 0.584 0.823
0.325 0.084 0.427
0.351 0.351 0.000
0.352 0.135 0.795
0.365 0.852 0.045
0.408 0.427 0.664
0.416 0.825 0.677
0.427 0.408 0.336
0.573 0.592 0.836
0.584 0.175 0.177
0.592 0.573 0.164
0.635 0.148 0.545
0.648 0.865 0.295
0.649 0.649 0.500
0.675 0.916 0.927
0.825 0.416 0.323
0.851 0.149 0.750
0.852 0.365 0.955
0.865 0.648 0.705
0.908 0.073 0.086
0.916 0.675 0.073
0.927 0.092 0.414
```

Properties
**Spin magnetization**: 0.000 μB/cell
**Final energy**: -8.9283 eV per atom
**ΔE_f (raw)**: -3.3821 eV/atom
**D(E_F)**: 0.000 states/eV per atom

A plane-wave DFT calculation with PBE-GGA was carried out for a geometry-optimized Dy2ZrO5 structure.

Structure (POSCAR):
```
Dy2ZrO5
1.0
9.709 0.000 0.000
0.000 6.608 0.000
0.000 0.000 6.022
Dy Zr O
8 4 20
Direct
0.175 0.001 0.016
0.175 0.499 0.016
0.325 0.501 0.516
0.325 0.999 0.516
0.675 0.001 0.484
0.675 0.499 0.484
0.825 0.501 0.984
0.825 0.999 0.984
0.006 0.250 0.563
0.494 0.750 0.063
0.506 0.250 0.937
0.994 0.750 0.437
0.004 0.250 0.943
0.096 0.528 0.654
0.096 0.972 0.654
0.185 0.250 0.332
0.208 0.750 0.310
0.292 0.250 0.810
0.315 0.750 0.832
0.404 0.028 0.154
0.404 0.472 0.154
0.496 0.750 0.443
0.504 0.250 0.557
0.596 0.528 0.846
0.596 0.972 0.846
0.685 0.250 0.168
0.708 0.750 0.190
0.792 0.250 0.690
0.815 0.750 0.668
0.904 0.028 0.346
0.904 0.472 0.346
0.996 0.750 0.057
```

Properties
**Spin magnetization**: 0.000 μB/cell
**Final energy**: -8.7967 eV per atom
**ΔE_f (raw)**: -3.4787 eV/atom
**D(E_F)**: 0.000 states/eV per atom

A plane-wave DFT calculation with PBE-GGA was carried out for a geometry-optimized Dy2Zr2O7 structure.

Structure (POSCAR):
```
Dy2Zr2O7
1.0
0.000 5.292 5.292
5.292 0.000 5.292
5.292 5.292 0.000
Dy Zr O
4 4 14
Direct
0.000 0.000 0.000
0.000 0.000 0.500
0.000 0.500 0.000
0.500 0.000 0.000
0.000 0.500 0.500
0.500 0.000 0.500
0.500 0.500 0.000
0.500 0.500 0.500
0.125 0.125 0.125
0.159 0.159 0.591
0.159 0.591 0.159
0.159 0.591 0.591
0.409 0.409 0.841
0.409 0.841 0.409
0.409 0.841 0.841
0.591 0.159 0.159
0.591 0.159 0.591
0.591 0.591 0.159
0.841 0.409 0.409
0.841 0.409 0.841
0.841 0.841 0.409
0.875 0.875 0.875
```

Properties
**Spin magnetization**: 0.000 μB/cell
**Final energy**: -8.9694 eV per atom
**ΔE_f (raw)**: -3.4233 eV/atom
**D(E_F)**: 0.000 states/eV per atom

A plane-wave DFT calculation with PBE-GGA was carried out for a geometry-optimized Dy2Zr2O7 structure.

Structure (POSCAR):
```
Dy2Zr2O7
1.0
7.878 0.000 0.000
0.000 5.534 0.000
-2.043 0.000 13.679
Dy Zr O
8 8 28
Direct
0.133 0.000 0.059
0.239 0.457 0.429
0.287 0.921 0.634
0.364 0.436 0.899
0.636 0.936 0.101
0.713 0.421 0.366
0.761 0.957 0.571
0.867 0.500 0.941
0.026 0.441 0.619
0.075 0.942 0.820
0.410 0.453 0.173
0.467 0.943 0.373
0.533 0.443 0.627
0.590 0.953 0.827
0.925 0.442 0.180
0.974 0.941 0.381
0.007 0.600 0.325
0.075 0.729 0.522
0.079 0.226 0.919
0.138 0.647 0.729
0.156 0.720 0.934
0.168 0.311 0.172
0.223 0.064 0.384
0.272 0.312 0.585
0.324 0.083 0.798
0.364 0.790 0.123
0.415 0.591 0.327
0.427 0.256 0.047
0.440 0.723 0.525
0.474 0.652 0.735
0.526 0.152 0.265
0.560 0.223 0.475
0.573 0.756 0.953
0.585 0.091 0.673
0.636 0.290 0.877
0.676 0.583 0.202
0.728 0.812 0.415
0.777 0.564 0.616
0.832 0.811 0.828
0.844 0.220 0.066
0.862 0.147 0.271
0.921 0.726 0.081
0.925 0.229 0.478
0.993 0.100 0.675
```

Properties
**Spin magnetization**: 0.029 μB/cell
**Final energy**: -8.9674 eV per atom
**ΔE_f (raw)**: -3.4213 eV/atom
**D(E_F)**: 0.000 states/eV per atom

A plane-wave DFT calculation with PBE-GGA was carried out for a geometry-optimized DyZr2O structure.

Structure (POSCAR):
```
DyZr2O
1.0
1.660 0.958 8.704
-1.660 0.958 8.704
0.000 -1.917 8.704
Dy Zr O
1 2 1
Direct
0.000 0.000 0.000
0.119 0.119 0.119
0.881 0.881 0.881
0.500 0.500 0.500
```

Properties
**Spin magnetization**: 0.001 μB/cell
**Final energy**: -7.5841 eV per atom
**ΔE_f (raw)**: -0.9200 eV/atom
**D(E_F)**: 1.039 states/eV per atom

What is the formula in the eighth record? DyZr2O